Density functional theory data (GGA-PBE) for a relaxed LiYbCu2P2 crystal.

Properties
Mass density in g/cm³: 6.70
Fermi-level density of states in states/eV/atom: 0.485
M_tot in μB/atom: 0.0000
Uncorrected energy in eV per atom: -4.44

Cell: 3.9870 3.9870 6.6387 Å, 90.00 90.00 120.00°
Space group P-3m1 (No. 164)
Symmetry-distinct sites (fractional):
Li1 0.0000 0.0000 0.0000
Yb1 0.0000 0.0000 0.5000
Cu1 0.3333 0.6667 0.8305
P1 0.3333 0.6667 0.2274

=====

Density functional theory data (GGA-PBE) for a relaxed LiZnCu2P crystal.

Properties
Mass density in g/cm³: 4.42
Fermi-level density of states in states/eV/atom: 0.337
M_tot in μB/atom: 0.0000
Uncorrected energy in eV per atom: -2.72

Cell: 4.4405 4.4405 4.3949 Å, 90.00 90.00 90.00°
Space group P4/mmm (No. 123)
Symmetry-distinct sites (fractional):
Li1 0.0000 0.0000 0.0000
Zn1 0.0000 0.0000 0.5000
Cu1 0.0000 0.5000 0.5000
P1 0.5000 0.5000 0.0000

=====

Density functional theory data (GGA-PBE) for a relaxed Li2ZrCuP crystal.

Properties
Mass density in g/cm³: 2.30
Fermi-level density of states in states/eV/atom: 0.479
M_tot in μB/atom: 0.3338
Uncorrected energy in eV per atom: -3.41

Cell: 5.4345 5.4345 4.8891 Å, 90.00 90.00 90.00°
Space group P4/mmm (No. 123)
Symmetry-distinct sites (fractional):
Li1 0.0000 0.5000 0.0000
Zr1 0.0000 0.0000 0.0000
Cu1 0.5000 0.5000 0.5000
P1 0.0000 0.0000 0.5000

=====

Density functional theory data (GGA-PBE) for a relaxed LiPaCu crystal.

Properties
Mass density in g/cm³: 9.39
Fermi-level density of states in states/eV/atom: 1.283
M_tot in μB/atom: 0.2212
Uncorrected energy in eV per atom: -4.70

Cell: 3.8750 9.9686 11.0469 Å, 90.00 90.00 90.00°
Space group Fmmm (No. 69)
Symmetry-distinct sites (fractional):
Li1 0.2500 0.2500 0.2500
Pa1 0.0000 0.1466 0.0000
Cu1 0.0000 0.0000 0.3255

=====

Density functional theory data (GGA-PBE) for a relaxed Li2PaCu9 crystal.

Properties
Mass density in g/cm³: 7.85
Fermi-level density of states in states/eV/atom: 0.745
M_tot in μB/atom: 0.0010
Uncorrected energy in eV per atom: -4.21

Cell: 4.9529 4.9529 24.3924 Å, 90.00 90.00 120.00°
Space group R-3m (No. 166, hexagonal axes)
Symmetry-distinct sites (fractional):
Li1 0.0000 0.0000 0.1497
Pa1 0.0000 0.0000 0.0000
Cu1 0.0000 0.0000 0.3325
Cu2 0.0000 0.0000 0.5000
Cu3 0.0006 0.5003 0.9153

=====

Density functional theory data (GGA-PBE) for a relaxed LiPaCu17 crystal.

Properties
Mass density in g/cm³: 8.52
Fermi-level density of states in states/eV/atom: 0.344
M_tot in μB/atom: 0.0000
Uncorrected energy in eV per atom: -4.24

Cell: 8.4471 8.4471 12.4784 Å, 90.00 90.00 120.00°
Space group R3m (No. 160, hexagonal axes)
Symmetry-distinct sites (fractional):
Li1 0.0000 0.0000 0.0000
Pa1 0.0000 0.0000 0.6790
Cu1 0.0000 0.0000 0.2393
Cu2 0.0000 0.0000 0.4357
Cu3 0.0331 0.3643 0.0074
Cu4 0.1683 0.3366 0.1759
Cu5 0.1684 0.3369 0.8259
Cu6 0.1696 0.3393 0.5201

=====

Density functional theory data (GGA-PBE) for a relaxed LiPaCuPd crystal.

Properties
Mass density in g/cm³: 9.22
Fermi-level density of states in states/eV/atom: 0.872
M_tot in μB/atom: 0.0000
Uncorrected energy in eV per atom: -5.28

Cell: 6.6487 6.6487 6.6487 Å, 90.00 90.00 90.00°
Space group F-43m (No. 216)
Symmetry-distinct sites (fractional):
Li1 0.0000 0.0000 0.0000
Pa1 0.0000 0.0000 0.5000
Cu1 0.2500 0.2500 0.2500
Pd1 0.2500 0.2500 0.7500

=====

Density functional theory data (GGA-PBE) for a relaxed LiPaCuPt crystal.

Properties
Mass density in g/cm³: 11.28
Fermi-level density of states in states/eV/atom: 0.727
M_tot in μB/atom: 0.0000
Uncorrected energy in eV per atom: -5.73

Cell: 6.6384 6.6384 6.6384 Å, 90.00 90.00 90.00°
Space group F-43m (No. 216)
Symmetry-distinct sites (fractional):
Li1 0.0000 0.0000 0.0000
Pa1 0.0000 0.0000 0.5000
Cu1 0.2500 0.2500 0.7500
Pt1 0.2500 0.2500 0.2500